Material: Cs2Cd3Hg8
Method: DFT, PBE
State: optimized geometry

Calculated formation energy (eV per atom): -0.1292
Space group: C2/m (12)
Spin magnetization (Bohr magnetons per cell): 0.0
E_tot (eV/atom): -0.6574

Cell lengths 9.975, 9.975, 6.554 Å; angles 102.95, 102.95, 41.34 degrees
Fractional coordinates of all 13 atoms:
Cs 0.189 0.189 0.309
Cs 0.811 0.811 0.691
Cd 0.000 0.000 0.500
Cd 0.215 0.785 0.000
Cd 0.785 0.215 0.000
Hg 0.142 0.619 0.251
Hg 0.288 0.288 0.877
Hg 0.381 0.858 0.749
Hg 0.429 0.429 0.670
Hg 0.571 0.571 0.330
Hg 0.619 0.142 0.251
Hg 0.712 0.712 0.123
Hg 0.858 0.381 0.749